[1]
{
  "formula": "Ce12PaRu6",
  "functional": "PBE",
  "state": "optimized geometry",
  "e_form_mev_per_atom": -78,
  "total_energy_ev_per_atom": -7.255,
  "dos_at_fermi_per_ev_atom": 2.1315,
  "crystal_system": "trigonal",
  "mass_density_g_cm3": 9.3,
  "cell": [[-2.926, 0.001, -7.253], [-7.707, -0.187, 1.318], [-2.034, 7.489, -0.970]],
  "species": ["Ce", "Ce", "Ce", "Ce", "Ce", "Ce", "Ce", "Ce", "Ce", "Ce", "Ce", "Ce", "Pa", "Ru", "Ru", "Ru", "Ru", "Ru", "Ru"],
  "frac_coords": [[0.535, 0.171, 0.534], [0.171, 0.534, 0.535], [0.534, 0.535, 0.171], [0.465, 0.829, 0.466], [0.829, 0.466, 0.465], [0.466, 0.465, 0.829], [0.546, 0.113, 0.112], [0.888, 0.454, 0.887], [0.887, 0.888, 0.454], [0.454, 0.887, 0.888], [0.112, 0.546, 0.113], [0.113, 0.112, 0.546], [0.000, 0.000, 0.000], [0.236, 0.841, 0.237], [0.159, 0.763, 0.764], [0.763, 0.764, 0.159], [0.764, 0.159, 0.763], [0.841, 0.237, 0.236], [0.237, 0.236, 0.841]]
}

---

[2]
{
  "formula": "La6Pm8Sn",
  "functional": "PBE",
  "state": "optimized geometry",
  "e_form_mev_per_atom": -43,
  "total_energy_ev_per_atom": -4.814,
  "dos_at_fermi_per_ev_atom": 1.6003,
  "crystal_system": "trigonal",
  "mass_density_g_cm3": 6.8,
  "cell": [[7.989, 0.000, 4.601], [2.670, 7.530, 4.601], [0.237, 0.167, 8.826]],
  "species": ["La", "La", "La", "La", "La", "La", "Pm", "Pm", "Pm", "Pm", "Pm", "Pm", "Pm", "Pm", "Sn"],
  "frac_coords": [[0.088, 0.548, 0.126], [0.762, 0.912, 0.874], [0.452, 0.762, 0.874], [0.548, 0.238, 0.126], [0.238, 0.088, 0.126], [0.912, 0.452, 0.874], [0.888, 0.296, 0.587], [0.771, 0.112, 0.413], [0.704, 0.771, 0.413], [0.422, 0.422, 0.734], [0.578, 0.578, 0.266], [0.296, 0.229, 0.587], [0.229, 0.888, 0.587], [0.112, 0.704, 0.413], [0.000, 0.000, 0.000]]
}

---

[3]
{
  "formula": "La2Dy2Ir2Pt",
  "functional": "PBE",
  "state": "optimized geometry",
  "e_form_mev_per_atom": -808,
  "total_energy_ev_per_atom": -6.925,
  "dos_at_fermi_per_ev_atom": 0.5337,
  "crystal_system": "monoclinic",
  "mass_density_g_cm3": 10.1,
  "cell": [[-1.151, -1.187, 3.590], [3.502, -6.217, 1.239], [7.588, 0.456, 2.585]],
  "species": ["La", "La", "Dy", "Dy", "Ir", "Ir", "Pt"],
  "frac_coords": [[0.532, 0.936, 0.753], [0.468, 0.064, 0.247], [0.780, 0.441, 0.694], [0.220, 0.559, 0.306], [0.884, 0.232, 0.459], [0.116, 0.768, 0.541], [0.000, 0.000, 0.000]]
}

---

[4]
{
  "formula": "RbIn2IrO8",
  "functional": "PBE",
  "state": "optimized geometry",
  "e_form_raw_ev_per_atom": -0.805,
  "total_energy_ev_per_atom": -5.386,
  "dos_at_fermi_per_ev_atom": 0.4218,
  "crystal_system": "triclinic",
  "mass_density_g_cm3": 6.4,
  "cell": [[5.201, -0.055, 0.000], [-0.031, 4.426, 0.007], [0.009, 0.025, 7.151]],
  "species": ["Rb", "In", "In", "Ir", "O", "O", "O", "O", "O", "O", "O", "O"],
  "frac_coords": [[0.000, 0.000, 0.500], [0.500, 0.499, 0.759], [0.500, 0.501, 0.241], [0.000, 0.000, 0.000], [0.140, 0.750, 0.184], [0.678, 0.750, 0.999], [0.858, 0.247, 0.183], [0.860, 0.250, 0.816], [0.322, 0.250, 0.001], [0.142, 0.753, 0.817], [0.514, 0.766, 0.500], [0.486, 0.234, 0.500]]
}

---

[5]
{
  "formula": "AlSnSe2",
  "functional": "PBE",
  "state": "optimized geometry",
  "e_form_raw_ev_per_atom": -0.363,
  "total_energy_ev_per_atom": -4.041,
  "dos_at_fermi_per_ev_atom": 0.7608,
  "crystal_system": "tetragonal",
  "mass_density_g_cm3": 4.9,
  "cell": [[-3.805, 5.938, 1.844], [-2.847, -3.585, 5.672], [-0.397, 2.363, 5.978]],
  "species": ["Sn", "Sn", "Se", "Se", "Se", "Se", "Al", "Al"],
  "frac_coords": [[0.000, 0.000, 0.000], [0.750, 0.250, 0.500], [0.557, 0.125, 0.250], [0.193, 0.625, 0.250], [0.375, 0.443, 0.750], [0.875, 0.807, 0.750], [0.500, 0.500, 0.000], [0.250, 0.750, 0.500]]
}

---

[6]
{
  "formula": "Cd3CF",
  "functional": "PBE",
  "state": "optimized geometry",
  "e_form_raw_ev_per_atom": 0.132,
  "relative_energy_mev_per_atom": 0.0,
  "total_energy_ev_per_atom": -2.636,
  "dos_at_fermi_per_ev_atom": 0.3511,
  "crystal_system": "cubic",
  "mass_density_g_cm3": 6.3,
  "cell": [[-4.058, -2.111, -0.378], [-0.328, -0.188, 4.574], [-2.119, 4.072, 0.015]],
  "species": ["C", "F", "Cd", "Cd", "Cd"],
  "frac_coords": [[0.000, 0.000, 0.000], [0.500, 0.500, 0.500], [0.000, 0.500, 0.000], [0.000, 0.000, 0.500], [0.500, 0.000, 0.000]]
}

---

[7]
{
  "formula": "Zr2CoHAu",
  "functional": "PBE",
  "state": "optimized geometry",
  "total_energy_ev_per_atom": -6.508,
  "dos_at_fermi_per_ev_atom": 0.6509,
  "crystal_system": "tetragonal",
  "mass_density_g_cm3": 9.8,
  "cell": [[-0.833, 2.411, 3.700], [1.981, -3.161, 2.506], [3.248, 1.725, -0.392]],
  "species": ["Co", "Au", "Zr", "Zr", "H"],
  "frac_coords": [[0.000, 0.000, 0.500], [0.500, 0.500, 0.500], [0.000, 0.500, 0.000], [0.500, 0.000, 0.000], [0.000, 0.000, 0.000]]
}

---

[8]
{
  "formula": "FeTcRu",
  "functional": "PBE",
  "state": "optimized geometry",
  "e_form_mev_per_atom": 182,
  "relative_energy_mev_per_atom": 96.6,
  "total_energy_ev_per_atom": -9.186,
  "dos_at_fermi_per_ev_atom": 0.9993,
  "crystal_system": "trigonal",
  "mass_density_g_cm3": 10.3,
  "cell": [[4.220, 0.000, 0.000], [-2.110, 3.655, 0.000], [0.000, 0.000, 2.656]],
  "species": ["Fe", "Ru", "Tc"],
  "frac_coords": [[0.000, 0.000, 0.003], [0.667, 0.333, 0.279], [0.333, 0.667, 0.718]]
}